! NiTeRh2, optimized geometry, DFT PBE; values from VASP
! Crystal system: orthorhombic
! Energy relative to the elements, uncorrected in meV per atom: 109
! Electronic total energy in eV per atom: -5.7980
&SYSTEM
  ibrav = 0, nat = 4, ntyp = 3
/
ATOMIC_SPECIES
Ni 58.69 Ni.upf
Rh 102.91 Rh.upf
Te 127.60 Te.upf
ATOMIC_POSITIONS angstrom
Ni 2.783 -3.505 2.018
Rh 4.752 -2.016 1.108
Rh 0.199 -2.408 1.415
Te 2.380 -1.010 0.555
CELL_PARAMETERS angstrom
-0.831 -0.324 2.976
-1.283 -3.426 -0.732
4.892 -2.076 1.140

=====

! TlWAuCl2, optimized geometry, DFT PBE; values from VASP
! Crystal system: tetragonal
! Energy relative to the elements, uncorrected in meV per atom: 939
! Electronic total energy in eV per atom: -3.5194
&SYSTEM
  ibrav = 0, nat = 5, ntyp = 4
/
ATOMIC_SPECIES
Tl 204.38 Tl.upf
Au 196.97 Au.upf
W 183.84 W.upf
Cl 35.45 Cl.upf
ATOMIC_POSITIONS angstrom
Tl -4.105 -1.408 -1.505
Au 0.000 0.000 0.000
W -1.610 -1.610 1.311
Cl -2.060 1.586 -0.582
Cl -0.435 -1.384 -2.234
CELL_PARAMETERS angstrom
-0.870 -2.769 -4.468
-3.220 -3.220 2.622
-4.120 3.172 -1.163

=====

! CuSi2HgS6, optimized geometry, DFT PBE; values from VASP
! Crystal system: monoclinic
! Energy relative to the elements, uncorrected in meV per atom: -308
! Electronic total energy in eV per atom: -4.3084
&SYSTEM
  ibrav = 0, nat = 20, ntyp = 4
/
ATOMIC_SPECIES
Cu 63.55 Cu.upf
Si 28.09 Si.upf
Hg 200.59 Hg.upf
S 32.06 S.upf
ATOMIC_POSITIONS angstrom
Cu 3.699 2.409 5.757
Cu 6.688 5.783 2.744
Si 4.361 6.453 5.298
Si 3.037 3.017 1.733
Si 6.026 1.739 3.203
Si 7.350 5.174 6.768
Hg 3.699 7.042 1.292
Hg 6.688 1.149 7.209
S 4.674 8.013 6.672
S 2.723 1.703 0.123
S 5.712 0.179 1.829
S 7.663 6.489 8.378
S 5.179 7.198 3.454
S 2.219 4.888 1.056
S 5.208 0.993 5.047
S 8.168 3.303 7.445
S 8.337 6.013 5.026
S 5.038 3.510 2.429
S 2.049 2.179 3.475
S 5.348 4.681 6.072
CELL_PARAMETERS angstrom
5.978 0.238 0.247
2.204 8.929 -0.645
2.204 -0.975 8.899

=====

! MnRe2Se5, optimized geometry, DFT PBE; values from VASP
! Crystal system: triclinic
! Energy relative to the elements, uncorrected in meV per atom: 67
! Electronic total energy in eV per atom: -6.3693
&SYSTEM
  ibrav = 0, nat = 8, ntyp = 3
/
ATOMIC_SPECIES
Mn 54.94 Mn.upf
Re 186.21 Re.upf
Se 78.96 Se.upf
ATOMIC_POSITIONS angstrom
Mn 3.207 4.818 6.595
Re 1.264 5.145 4.860
Re 4.120 1.326 5.013
Se 2.132 2.857 5.532
Se 2.570 -0.282 4.061
Se -0.096 3.725 9.926
Se 1.172 1.200 8.380
Se 4.380 0.316 7.140
CELL_PARAMETERS angstrom
4.964 -0.477 2.448
-1.582 5.484 3.334
-0.139 -0.440 6.933

=====

! Tm4CoSn2, optimized geometry, DFT PBE; values from VASP
! Energy of formation in eV/atom: -0.40
! Crystal system: tetragonal
! Electronic total energy in eV per atom: -5.1140
! Relative energy among the computed polymorphs in meV/atom: 89
&SYSTEM
  ibrav = 0, nat = 7, ntyp = 3
/
ATOMIC_SPECIES
Tm 168.93 Tm.upf
Co 58.93 Co.upf
Sn 118.71 Sn.upf
ATOMIC_POSITIONS angstrom
Tm 2.422 2.422 5.284
Tm 0.000 0.000 2.766
Tm 0.000 2.422 0.000
Tm 2.422 0.000 0.000
Co 0.000 0.000 0.000
Sn 2.422 2.422 2.229
Sn 0.000 0.000 5.821
CELL_PARAMETERS angstrom
4.845 0.000 0.000
0.000 4.845 0.000
-2.422 -2.422 8.050

=====

! Tl2ZnIr, optimized geometry, DFT PBE; values from VASP
! Energy of formation in eV/atom: 0.53
! Crystal system: cubic
! Electronic total energy in eV per atom: -3.1868
! Relative energy among the computed polymorphs in meV/atom: 412
&SYSTEM
  ibrav = 0, nat = 4, ntyp = 3
/
ATOMIC_SPECIES
Ir 192.22 Ir.upf
Tl 204.38 Tl.upf
Zn 65.41 Zn.upf
ATOMIC_POSITIONS angstrom
Ir 0.509 -5.943 -0.491
Tl 0.000 0.000 0.000
Tl 0.254 -2.972 -0.245
Zn 0.763 -8.915 -0.736
CELL_PARAMETERS angstrom
-0.305 -4.243 2.406
-1.709 -3.977 -2.267
3.031 -3.666 -1.119

=====

! YErAlGa, optimized geometry, DFT PBE; values from VASP
! Energy of formation in eV/atom: -0.53
! Crystal system: orthorhombic
! Electronic total energy in eV per atom: -4.9767
! Relative energy among the computed polymorphs in meV/atom: 0
&SYSTEM
  ibrav = 0, nat = 4, ntyp = 4
/
ATOMIC_SPECIES
Y 88.91 Y.upf
Er 167.26 Er.upf
Al 26.98 Al.upf
Ga 69.72 Ga.upf
ATOMIC_POSITIONS angstrom
Y 2.193 2.029 3.957
Er 0.000 0.000 1.553
Al 2.193 2.029 0.809
Ga 0.000 0.000 4.639
CELL_PARAMETERS angstrom
4.387 0.000 0.000
0.000 4.057 0.000
-2.193 0.000 5.479

=====

! Mg4IrBr, optimized geometry, DFT PBE; values from VASP
! Crystal system: cubic
! Energy relative to the elements, uncorrected in meV per atom: 286
! Electronic total energy in eV per atom: -2.5330
&SYSTEM
  ibrav = 0, nat = 6, ntyp = 3
/
ATOMIC_SPECIES
Mg 24.30 Mg.upf
Ir 192.22 Ir.upf
Br 79.90 Br.upf
ATOMIC_POSITIONS angstrom
Mg -6.468 3.977 0.069
Mg -6.042 3.716 -2.710
Mg -4.758 5.779 -1.273
Mg -3.967 3.095 -0.899
Ir 0.000 0.000 0.000
Br -7.963 6.213 -1.805
CELL_PARAMETERS angstrom
-4.947 1.746 1.915
-1.565 5.310 -0.740
-4.105 1.228 -3.582

=====

! PrDy2Cu, optimized geometry, DFT PBE; values from VASP
! Energy of formation in eV/atom: 0.03
! Crystal system: trigonal
! Electronic total energy in eV per atom: -4.4908
! Relative energy among the computed polymorphs in meV/atom: 131
&SYSTEM
  ibrav = 0, nat = 4, ntyp = 3
/
ATOMIC_SPECIES
Pr 140.91 Pr.upf
Cu 63.55 Cu.upf
Dy 162.50 Dy.upf
ATOMIC_POSITIONS angstrom
Pr 3.648 2.106 4.976
Cu 0.000 0.000 0.000
Dy 1.824 1.053 1.963
Dy 5.472 3.159 7.990
CELL_PARAMETERS angstrom
3.648 0.000 0.000
1.824 3.159 0.000
1.824 1.053 9.953

=====

! SrTl2SbO6, optimized geometry, DFT PBE; values from VASP
! Crystal system: trigonal
! Energy relative to the elements, uncorrected in meV per atom: -1401
! Electronic total energy in eV per atom: -5.4296
&SYSTEM
  ibrav = 0, nat = 10, ntyp = 4
/
ATOMIC_SPECIES
Sr 87.62 Sr.upf
Tl 204.38 Tl.upf
Sb 121.76 Sb.upf
O 16.00 O.upf
ATOMIC_POSITIONS angstrom
Sr 8.723 5.038 3.113
Tl 5.815 3.358 2.038
Tl 2.907 1.679 5.079
Sb 2.908 1.680 0.160
O 4.619 1.440 1.247
O 4.754 5.355 1.246
O 8.076 3.281 1.246
O 6.568 4.770 4.250
O 6.660 2.002 4.250
O 4.216 3.306 4.252
CELL_PARAMETERS angstrom
5.816 0.000 -0.001
2.908 5.038 -0.001
2.907 1.679 5.362

=====

! Dy3Bi2Ir, optimized geometry, DFT PBE; values from VASP
! Energy of formation in eV/atom: -0.54
! Crystal system: orthorhombic
! Electronic total energy in eV per atom: -5.6088
&SYSTEM
  ibrav = 0, nat = 6, ntyp = 3
/
ATOMIC_SPECIES
Dy 162.50 Dy.upf
Bi 208.98 Bi.upf
Ir 192.22 Ir.upf
ATOMIC_POSITIONS angstrom
Dy 1.702 -6.332 2.487
Dy -0.828 -2.566 0.167
Dy 2.846 -0.959 -0.611
Bi -1.085 -4.845 2.546
Bi 1.958 -4.054 0.108
Ir 0.000 0.000 0.000
CELL_PARAMETERS angstrom
-1.353 -2.436 -2.480
5.693 -1.917 -1.222
-3.467 -4.546 6.356

=====

! Ca2IrCSe, optimized geometry, DFT PBE; values from VASP
! Crystal system: tetragonal
! Energy relative to the elements, uncorrected in meV per atom: -676
! Electronic total energy in eV per atom: -5.7909
&SYSTEM
  ibrav = 0, nat = 5, ntyp = 4
/
ATOMIC_SPECIES
Ca 40.08 Ca.upf
Ir 192.22 Ir.upf
C 12.01 C.upf
Se 78.96 Se.upf
ATOMIC_POSITIONS angstrom
Ca 0.000 2.584 0.000
Ca 2.584 0.000 0.000
Ir 0.000 0.000 1.922
C 0.000 0.000 0.000
Se 2.584 2.584 1.922
CELL_PARAMETERS angstrom
5.168 0.000 0.000
0.000 5.168 0.000
0.000 0.000 3.844

=====

Number 1: total magnetization 1.34 μB per formula unit. Number 2: total magnetization 4.26 μB per formula unit. Number 3: total magnetization 0.00 μB per formula unit. Number 4: total magnetization 2.08 μB per formula unit. Number 5: total magnetization 0.00 μB per formula unit. Number 6: total magnetization 0.00 μB per formula unit. Number 7: total magnetization 0.01 μB per formula unit. Number 8: total magnetization 0.00 μB per formula unit. Number 9: total magnetization 0.00 μB per formula unit. Number 10: total magnetization 0.00 μB per formula unit. Number 11: total magnetization 0.00 μB per formula unit. Number 12: total magnetization 0.00 μB per formula unit.